The following is a PBE calculation of a relaxed YMgScNi crystal, from OQMD via LeMat-Bulk.

Values from the calculation:
Size of the total moment: 0.0 μB per formula unit
Total DFT energy (no corrections): -19.9 eV/cell
Crystal system: cubic

Cell lengths 4.822, 4.822, 4.822 Å; angles 60.00, 60.00, 60.00 degrees
Sites, in units of the cell vectors:
Mg1 0.750 0.750 0.750
Ni1 0.500 0.500 0.500
Sc1 0.000 0.000 0.000
Y1 0.250 0.250 0.250